# FeTc2F8

A geometry-optimized FeTc2F8 structure (GGA+U, Alexandria).

Output
Space-group type = C2/m (12)
Total energy = -62.515 eV per cell

abc: 4.6139 5.8709 7.1500
angles: 127.51 90.00 96.82
With the nearest neighbours (Å) after each atom.
Sites, in units of the cell vectors:
F 0.7175 0.2115 0.6056  2 Tc 2.12-2.23
F 0.2368 0.2240 0.8875  1 Tc 1.97, 1 Fe 2.13
F 0.2332 0.6627 0.8313  1 Tc 2.00, 1 Fe 2.03
F 0.7668 0.3373 0.1687  1 Tc 2.00, 1 Fe 2.03
F 0.7632 0.7760 0.1125  1 Tc 1.97, 1 Fe 2.13
F 0.7631 0.7761 0.6635  1 Tc 1.97, 1 Fe 2.13
F 0.2369 0.2239 0.3364  1 Tc 1.97, 1 Fe 2.13
F 0.2825 0.7885 0.3943  2 Tc 2.12-2.23
Fe 0.0000 0.0000 0.0000  6 F 2.03-2.13
Tc 0.7613 0.7657 0.3829  4 F 1.97-2.12
Tc 0.2387 0.2343 0.6171  4 F 1.97-2.12